--- a ---
Computed, not measured: SrCaF2 after structural relaxation at the PBE-GGA level of DFT.

* V: 83 Å³/f.u.
* space-group type: No. 225
* crystal system: cubic

a = 4.896 Å, b = 4.896 Å, c = 4.896 Å
α = 60.00°, β = 60.00°, γ = 60.00°
Each line ends with the local moment (μB).
Positions (direct):
1 F 0.750 0.750 0.750  0.02
2 Sr 0.500 0.500 0.500  0.20
3 F 0.250 0.250 0.250  0.02
4 Ca 0.000 0.000 0.000  0.27



--- b ---
Computed, not measured: SrCaF2 after structural relaxation at the PBE-GGA level of DFT.

* V: 95 Å³/f.u.
* space-group type: No. 166
* crystal system: trigonal

a = 6.745 Å, b = 6.745 Å, c = 6.745 Å
α = 35.96°, β = 35.96°, γ = 35.96°
Positions (direct):
1 F 0.121 0.121 0.121
2 Ca 0.000 0.000 0.000
3 Sr 0.500 0.500 0.500
4 F 0.879 0.879 0.879



--- c ---
Computed, not measured: SrCaF2 after structural relaxation at the PBE-GGA level of DFT.

* V: 96 Å³/f.u.
* space-group type: No. 122
* crystal system: tetragonal

a = 5.764 Å, b = 5.764 Å, c = 7.065 Å
α = 65.93°, β = 65.93°, γ = 90.00°
Each line ends with the local moment (μB).
Positions (direct):
1 F 0.375 0.403 0.750  0.04
2 Ca 0.500 0.500 0.000  0.12
3 Sr 0.000 0.000 0.000  0.13
4 F 0.875 0.847 0.750  0.04
5 Sr 0.750 0.250 0.500  0.13
6 F 0.153 0.625 0.250  0.04
7 F 0.597 0.125 0.250  0.04
8 Ca 0.250 0.750 0.500  0.12



Short version: a is the least stable of them.



--- a ---
Computed, not measured: Sr3CaF after structural relaxation at the PBE-GGA level of DFT.

* V: 191 Å³/f.u.
* space-group type: No. 221
* crystal system: cubic

a = 5.760 Å, b = 5.760 Å, c = 5.760 Å
α = 90.00°, β = 90.00°, γ = 90.00°
Positions (direct):
1 Ca 0.500 0.500 0.500
2 Sr 0.000 0.500 0.000
3 Sr 0.000 0.000 0.500
4 F 0.000 0.000 0.000
5 Sr 0.500 0.000 0.000



--- b ---
Computed, not measured: Sr3CaF after structural relaxation at the PBE-GGA level of DFT.

* V: 370 Å³/f.u.
* space-group type: No. 221
* crystal system: cubic

a = 7.177 Å, b = 7.177 Å, c = 7.177 Å
α = 90.00°, β = 90.00°, γ = 90.00°
Positions (direct):
1 Sr 0.000 0.000 0.500
2 F 0.500 0.500 0.500
3 Sr 0.000 0.500 0.000
4 Ca 0.000 0.000 0.000
5 Sr 0.500 0.000 0.000



Short version: b is the least stable of them.



--- a ---
Computed, not measured: Sr2Ca2F after structural relaxation at the PBE-GGA level of DFT.

* V: 197 Å³/f.u.
* space-group type: No. 127
* crystal system: tetragonal

a = 7.345 Å, b = 7.345 Å, c = 7.302 Å
α = 90.00°, β = 90.00°, γ = 90.00°
Positions (direct):
1 F 0.500 0.500 0.000
2 F 0.000 0.000 0.000
3 Sr 0.194 0.306 0.000
4 Sr 0.806 0.694 0.000
5 Ca 0.669 0.831 0.500
6 Ca 0.831 0.331 0.500
7 Sr 0.694 0.194 0.000
8 Sr 0.306 0.806 0.000
9 Ca 0.331 0.169 0.500
10 Ca 0.169 0.669 0.500



--- b ---
Computed, not measured: Sr2Ca2F after structural relaxation at the PBE-GGA level of DFT.

* V: 219 Å³/f.u.
* space-group type: No. 139
* crystal system: tetragonal

a = 4.631 Å, b = 4.631 Å, c = 10.711 Å
α = 77.51°, β = 77.51°, γ = 90.00°
Positions (direct):
1 Ca 0.588 0.588 0.823
2 Sr 0.750 0.250 0.500
3 Ca 0.412 0.412 0.177
4 F 0.000 0.000 0.000
5 Sr 0.250 0.750 0.500



--- c ---
Computed, not measured: Sr2Ca2F after structural relaxation at the PBE-GGA level of DFT.

* V: 193 Å³/f.u.
* space-group type: No. 127
* crystal system: tetragonal

a = 7.268 Å, b = 7.268 Å, c = 7.301 Å
α = 90.00°, β = 90.00°, γ = 90.00°
Positions (direct):
1 Ca 0.809 0.691 0.000
2 Ca 0.191 0.309 0.000
3 Sr 0.825 0.325 0.500
4 Ca 0.309 0.809 0.000
5 Sr 0.325 0.175 0.500
6 Sr 0.175 0.675 0.500
7 F 0.500 0.500 0.000
8 Sr 0.675 0.825 0.500
9 F 0.000 0.000 0.000
10 Ca 0.691 0.191 0.000



--- d ---
Computed, not measured: Sr2Ca2F after structural relaxation at the PBE-GGA level of DFT.

* V: 205 Å³/f.u.
* space-group type: No. 139
* crystal system: tetragonal

a = 4.428 Å, b = 4.428 Å, c = 10.913 Å
α = 78.30°, β = 78.30°, γ = 90.00°
Positions (direct):
1 Sr 0.409 0.409 0.181
2 Sr 0.591 0.591 0.819
3 Ca 0.250 0.750 0.500
4 Ca 0.750 0.250 0.500
5 F 0.000 0.000 0.000



Short version: b is the least stable of them.



--- a ---
Computed, not measured: SrCaF3 after structural relaxation at the PBE-GGA level of DFT.

* V: 96 Å³/f.u.
* space-group type: No. 221
* crystal system: cubic

a = 4.578 Å, b = 4.578 Å, c = 4.578 Å
α = 90.00°, β = 90.00°, γ = 90.00°
Positions (direct):
1 F 0.000 0.000 0.500
2 F 0.000 0.500 0.000
3 Sr 0.500 0.500 0.500
4 F 0.500 0.000 0.000
5 Ca 0.000 0.000 0.000



--- b ---
Computed, not measured: SrCaF3 after structural relaxation at the PBE-GGA level of DFT.

* V: 108 Å³/f.u.
* space-group type: No. 221
* crystal system: cubic

a = 4.769 Å, b = 4.769 Å, c = 4.769 Å
α = 90.00°, β = 90.00°, γ = 90.00°
Positions (direct):
1 F 0.500 0.000 0.000
2 F 0.000 0.500 0.000
3 Sr 0.000 0.000 0.000
4 F 0.000 0.000 0.500
5 Ca 0.500 0.500 0.500



Short version: b is the least stable of them.